Entry 1:
# K4Tl5Zn

Crystalline K4Tl5Zn at its relaxed geometry (PBE-GGA, the Alexandria database).

Cell: 10.5066 10.5066 7.1846 Å, 90.00 90.00 90.00°
Space group I4 (No. 79)
Unique sites:
K (0.0652, 0.6949, 0.0000) [8 per cell]
Tl (0.0000, 0.0000, 0.1851) [2 per cell]
Tl (0.0754, 0.7997, 0.5103) [8 per cell]
Zn (0.0000, 0.0000, 0.7928) [2 per cell]



Entry 2:
# KTl2Zn

Crystalline KTl2Zn at its relaxed geometry (PBE-GGA, the Alexandria database).

## Properties
ΔE to the lowest computed polymorph: 2.52 kcal/mol of atoms

Cell: 7.7711 7.7711 7.7711 Å, 90.00 90.00 90.00°
Space group Fm-3m (No. 225)
Unique sites:
K (0.0000, 0.0000, 0.0000) [4 per cell]
Tl (0.2500, 0.2500, 0.2500) [8 per cell]
Zn (0.0000, 0.0000, 0.5000) [4 per cell]



Entry 3:
# K2TlZn

Crystalline K2TlZn at its relaxed geometry (PBE-GGA, the Alexandria database).

## Properties
ΔE to the lowest computed polymorph: 2.77 kcal/mol of atoms

Cell: 7.4605 9.7258 4.1607 Å, 90.00 90.42 90.00°
Space group C2/m (No. 12)
Unique sites:
K (0.2500, 0.2500, 0.0000) [4 per cell]
Tl (0.0000, 0.0000, 0.5000) [2 per cell]
Zn (0.0000, 0.5000, 0.5000) [2 per cell]



Entry 4:
# KTl2Zn

Crystalline KTl2Zn at its relaxed geometry (PBE-GGA, the Alexandria database).

## Properties
ΔE to the lowest computed polymorph: 3.29 kcal/mol of atoms

Cell: 6.9201 11.6696 3.4400 Å, 90.00 116.63 90.00°
Space group C2/m (No. 12)
Unique sites:
K (0.0000, 0.0000, 0.0000) [2 per cell]
Tl (0.2500, 0.2500, 0.5000) [4 per cell]
Zn (0.0000, 0.5000, 0.0000) [2 per cell]



Entry 5:
# KTl2Zn

Crystalline KTl2Zn at its relaxed geometry (PBE-GGA, the Alexandria database).

## Properties
ΔE to the lowest computed polymorph: 2.28 kcal/mol of atoms

Cell: 7.7996 7.7996 7.7996 Å, 90.00 90.00 90.00°
Space group F-43m (No. 216)
Unique sites:
K (0.0000, 0.0000, 0.0000) [4 per cell]
Tl (0.0000, 0.0000, 0.5000) [4 per cell]
Tl (0.2500, 0.2500, 0.7500) [4 per cell]
Zn (0.2500, 0.2500, 0.2500) [4 per cell]



Entry 6:
# KTl2Zn

Crystalline KTl2Zn at its relaxed geometry (PBE-GGA, the Alexandria database).

## Properties
ΔE to the lowest computed polymorph: 3.39 kcal/mol of atoms

Cell: 3.7344 3.7344 31.2591 Å, 90.00 90.00 120.00°
Space group R3m (No. 160, hexagonal axes)
Unique sites:
K (0.0000, 0.0000, 0.0000) [3 per cell]
Tl (0.0000, 0.0000, 0.5123) [3 per cell]
Tl (0.0000, 0.0000, 0.7627) [3 per cell]
Zn (0.0000, 0.0000, 0.2474) [3 per cell]



In eV/atom, the energy of formation values for the records above are, in order, -0.0375; 0.0921; 0.1221; 0.1255; 0.0816; 0.1296.